#A
The following is a DFT calculation (GGA+U) of an optimized crystal structure of KMoO4.

Theoretical density (kg/m3): 2921
Total magnetization (Bohr magnetons per cell): 2.054

a b c (Å): 7.0092 7.0092 5.6714
angles (deg): 99.18 99.18 55.65
Closest atoms and distances in Å follow each position.
Fractional positions:
K: 0.1075 0.1075 0.2802  5 O 2.67-2.80
K: 0.8925 0.8925 0.7198  5 O 2.67-2.80
Mo: 0.4135 0.4135 0.1791  3 O 1.74-1.86
Mo: 0.5865 0.5865 0.8209  3 O 1.74-1.86
O: 0.2029 0.6278 0.3980  1 Mo 1.86
O: 0.2796 0.2796 0.0203  1 Mo 1.74
O: 0.3153 0.6847 0.0000  2 Mo 2.01
O: 0.3722 0.7971 0.6020  1 Mo 1.86
O: 0.6278 0.2029 0.3980  1 Mo 1.86
O: 0.6847 0.3153 0.0000  2 Mo 2.01
O: 0.7204 0.7204 0.9797  1 Mo 1.74
O: 0.7971 0.3722 0.6020  1 Mo 1.86

=====

#B
The following is a DFT calculation (GGA+U) of an optimized crystal structure of KMoO4.

Theoretical density (kg/m3): 2427
Total magnetization (Bohr magnetons per cell): 2.105

a b c (Å): 7.5129 7.5129 5.6062
angles (deg): 96.16 96.16 118.32
Closest atoms and distances in Å follow each position.
Fractional positions:
K: 0.2399 0.7601 0.7500  4 O 2.66-2.85
K: 0.7601 0.2399 0.2500  4 O 2.66-2.85
Mo: 0.4141 0.5859 0.2500  4 O 1.76-1.95
Mo: 0.5859 0.4141 0.7500  4 O 1.76-1.95
O: 0.1597 0.5041 0.2941  1 Mo 1.76
O: 0.3385 0.4277 0.9218  1 Mo 1.95, 1 O 2.16
O: 0.4277 0.3385 0.4218  1 Mo 1.95, 1 O 2.16
O: 0.4959 0.8403 0.2059  1 Mo 1.76
O: 0.5041 0.1597 0.7941  1 Mo 1.76
O: 0.5723 0.6615 0.5782  1 Mo 1.95, 1 O 2.16
O: 0.6615 0.5723 0.0782  1 Mo 1.95, 1 O 2.16
O: 0.8403 0.4959 0.7059  1 Mo 1.76

=====

#C
The following is a DFT calculation (GGA+U) of an optimized crystal structure of KMoO4.

Theoretical density (kg/m3): 3136
Total magnetization (Bohr magnetons per cell): 4.066

a b c (Å): 7.7039 7.9681 8.4552
angles (deg): 110.09 116.09 94.37
Closest atoms and distances in Å follow each position.
Fractional positions:
K: 0.0139 0.0666 0.3024  7 O 2.72-3.03
K: 0.2959 0.6466 0.3820  6 O 2.76-2.90
K: 0.7041 0.3534 0.6180  6 O 2.76-2.90
K: 0.9861 0.9334 0.6976  7 O 2.72-3.03
Mo: 0.3015 0.4759 0.7867  3 O 1.75-1.85
Mo: 0.4318 0.9042 0.1209  3 O 1.75-1.87
Mo: 0.5682 0.0958 0.8791  3 O 1.75-1.87
Mo: 0.6985 0.5241 0.2133  3 O 1.75-1.85
O: 0.0832 0.3103 0.7071  1 Mo 1.75
O: 0.2110 0.2563 0.1443  1 O 2.18
O: 0.2278 0.6956 0.8216  1 Mo 1.85
O: 0.2556 0.8823 0.1961  1 Mo 1.75
O: 0.3360 0.4279 0.5836  1 Mo 1.77
O: 0.3389 0.9870 0.6579  1 Mo 1.77
O: 0.3766 0.0887 0.0317  1 Mo 1.87
O: 0.4871 0.6447 0.0858  3 Mo 2.04-2.11
O: 0.5129 0.3553 0.9142  3 Mo 2.04-2.11
O: 0.6234 0.9113 0.9683  1 Mo 1.87
O: 0.6611 0.0130 0.3421  1 Mo 1.77
O: 0.6640 0.5721 0.4164  1 Mo 1.77
O: 0.7444 0.1177 0.8039  1 Mo 1.75
O: 0.7722 0.3044 0.1784  1 Mo 1.85
O: 0.7890 0.7437 0.8557  1 O 2.18
O: 0.9168 0.6897 0.2929  1 Mo 1.75

=====

Which is the most stable structure? #B is the most stable.

=====

#A
The following is a DFT calculation (GGA+U) of an optimized crystal structure of KMo2O6.

Theoretical density (kg/m3): 3755
Total magnetization (Bohr magnetons per cell): 1.000

a b c (Å): 5.2875 5.2875 8.0163
angles (deg): 107.72 107.72 43.06
Closest atoms and distances in Å follow each position.
Fractional positions:
K: 0.0000 0.0000 0.0000  6 O 2.73-2.76
Mo: 0.1740 0.1740 0.6173  2 O 1.75-1.82
Mo: 0.8260 0.8260 0.3827  2 O 1.75-1.82
O: 0.0041 0.0041 0.6605  1 Mo 1.82
O: 0.3054 0.3054 0.8268  1 Mo 1.75
O: 0.3057 0.3057 0.4444  3 Mo 2.03-2.18
O: 0.6943 0.6943 0.5556  3 Mo 2.03-2.18
O: 0.6946 0.6946 0.1732  1 Mo 1.75
O: 0.9959 0.9959 0.3395  1 Mo 1.82

=====

#B
The following is a DFT calculation (GGA+U) of an optimized crystal structure of KMo2O6.

Theoretical density (kg/m3): 2953
Total magnetization (Bohr magnetons per cell): 2.000

a b c (Å): 8.3688 8.3688 5.6438
angles (deg): 101.89 101.89 74.36
Closest atoms and distances in Å follow each position.
Fractional positions:
K: 0.1589 0.8411 0.7500  6 O 2.80-2.92
K: 0.8411 0.1589 0.2500  6 O 2.80-2.92
Mo: 0.1318 0.3471 0.8902  3 O 1.75-1.90
Mo: 0.3471 0.1318 0.3902  3 O 1.75-1.90
Mo: 0.6529 0.8682 0.6098  3 O 1.75-1.90
Mo: 0.8682 0.6529 0.1098  3 O 1.75-1.90
O: 0.0217 0.1982 0.7262  1 Mo 1.75
O: 0.0397 0.5741 0.8555  1 Mo 1.88
O: 0.1982 0.0217 0.2262  1 Mo 1.75
O: 0.2904 0.3039 0.6583  2 Mo 1.90-1.97
O: 0.3039 0.2904 0.1583  2 Mo 1.90-1.97
O: 0.4259 0.9603 0.6445  1 Mo 1.88
O: 0.5741 0.0397 0.3555  1 Mo 1.88
O: 0.6961 0.7096 0.8417  2 Mo 1.90-1.97
O: 0.7096 0.6961 0.3417  2 Mo 1.90-1.97
O: 0.8018 0.9783 0.7738  1 Mo 1.75
O: 0.9603 0.4259 0.1445  1 Mo 1.88
O: 0.9783 0.8018 0.2738  1 Mo 1.75

=====

Which is the most stable structure? #A is the most stable.

=====

#A
The following is a DFT calculation (GGA+U) of an optimized crystal structure of K2Mo3O10.

Theoretical density (kg/m3): 3302
Total magnetization (Bohr magnetons per cell): 0.000

a b c (Å): 8.3251 8.3251 8.9614
angles (deg): 97.84 97.84 59.61
Closest atoms and distances in Å follow each position.
Fractional positions:
K: 0.0893 0.2755 0.1583  4 O 2.74-2.89
K: 0.2755 0.0893 0.6583  4 O 2.74-2.89
K: 0.7245 0.9107 0.3417  4 O 2.74-2.89
K: 0.9107 0.7245 0.8417  4 O 2.74-2.89
Mo: 0.2025 0.7975 0.2500  2 O 1.74
Mo: 0.3142 0.4745 0.4859  3 O 1.74-1.94
Mo: 0.4745 0.3142 0.9859  3 O 1.74-1.94
Mo: 0.5255 0.6858 0.0141  3 O 1.74-1.94
Mo: 0.6858 0.5255 0.5141  3 O 1.74-1.94
Mo: 0.7975 0.2025 0.7500  2 O 1.74
O: 0.0153 0.8721 0.1124  1 Mo 1.74
O: 0.1279 0.9847 0.3876  1 Mo 1.74
O: 0.1403 0.6223 0.3264  2 Mo 1.94-2.00
O: 0.1807 0.5641 0.6410  1 Mo 1.74
O: 0.2555 0.3338 0.9260  1 Mo 1.76
O: 0.3338 0.2555 0.4260  1 Mo 1.76
O: 0.3777 0.8597 0.1736  2 Mo 1.94-2.00
O: 0.3835 0.5656 0.0883  2 Mo 1.96-2.11
O: 0.4344 0.6165 0.4117  2 Mo 1.96-2.11
O: 0.4359 0.8193 0.8590  1 Mo 1.74
O: 0.5641 0.1807 0.1410  1 Mo 1.74
O: 0.5656 0.3835 0.5883  2 Mo 1.96-2.11
O: 0.6165 0.4344 0.9117  2 Mo 1.96-2.11
O: 0.6223 0.1403 0.8264  2 Mo 1.94-2.00
O: 0.6662 0.7445 0.5740  1 Mo 1.76
O: 0.7445 0.6662 0.0740  1 Mo 1.76
O: 0.8193 0.4359 0.3590  1 Mo 1.74
O: 0.8597 0.3777 0.6736  2 Mo 1.94-2.00
O: 0.8721 0.0153 0.6124  1 Mo 1.74
O: 0.9847 0.1279 0.8876  1 Mo 1.74

=====

#B
The following is a DFT calculation (GGA+U) of an optimized crystal structure of K2Mo3O10.

Theoretical density (kg/m3): 3609
Total magnetization (Bohr magnetons per cell): 0.000

a b c (Å): 9.7003 9.7003 9.5120
angles (deg): 111.69 111.69 35.94
Closest atoms and distances in Å follow each position.
Fractional positions:
K: 0.0870 0.0870 0.2135  5 O 2.72-2.99
K: 0.1974 0.1974 0.8603  2 O 2.63
K: 0.8026 0.8026 0.1397  2 O 2.63
K: 0.9130 0.9130 0.7865  5 O 2.72-2.99
Mo: 0.2529 0.7471 0.5000  6 O 1.91-1.98
Mo: 0.3140 0.3140 0.4851  1 O 1.73
Mo: 0.4041 0.4041 0.9367  3 O 1.78-1.86
Mo: 0.5959 0.5959 0.0633  3 O 1.78-1.86
Mo: 0.6860 0.6860 0.5149  1 O 1.73
Mo: 0.7471 0.2529 0.5000  6 O 1.91-1.98
O: 0.0000 0.5000 0.5000  2 Mo 1.95
O: 0.0302 0.0302 0.6451  2 Mo 1.98
O: 0.1285 0.5800 0.9825  1 Mo 1.78
O: 0.1722 0.6239 0.5056  2 Mo 1.91-2.01
O: 0.2799 0.2799 0.2876  1 Mo 1.73
O: 0.2998 0.7002 0.0000  2 Mo 2.03
O: 0.3653 0.3653 0.7244  1 Mo 1.86
O: 0.3761 0.8278 0.4944  2 Mo 1.91-2.01
O: 0.4200 0.8715 0.0175  1 Mo 1.78
O: 0.4689 0.4689 0.3533  2 Mo 1.96
O: 0.5000 0.0000 0.5000  2 Mo 1.95
O: 0.5311 0.5311 0.6467  2 Mo 1.96
O: 0.5800 0.1285 0.9825  1 Mo 1.78
O: 0.6239 0.1722 0.5056  2 Mo 1.91-2.01
O: 0.6347 0.6347 0.2756  1 Mo 1.86
O: 0.7002 0.2998 0.0000  2 Mo 2.03
O: 0.7201 0.7201 0.7124  1 Mo 1.73
O: 0.8278 0.3761 0.4944  2 Mo 1.91-2.01
O: 0.8715 0.4200 0.0175  1 Mo 1.78
O: 0.9698 0.9698 0.3549  2 Mo 1.98

=====

Which is the most stable structure? #A is the most stable.

=====

#A
The following is a DFT calculation (GGA+U) of an optimized crystal structure of K2Mo2P2O11.

Theoretical density (kg/m3): 3521
Total magnetization (Bohr magnetons per cell): 0.218

a b c (Å): 9.4316 9.1411 11.1148
angles (deg): 90.00 90.00 90.00
Closest atoms and distances in Å follow each position.
Fractional positions:
K: 0.1999 0.0105 0.0844  6 O 2.68-2.97
K: 0.1999 0.9895 0.5844  6 O 2.68-2.97
K: 0.3001 0.4895 0.5844  6 O 2.68-2.97
K: 0.3001 0.5105 0.0844  6 O 2.68-2.97
K: 0.6999 0.4895 0.9156  6 O 2.68-2.97
K: 0.6999 0.5105 0.4156  6 O 2.68-2.97
K: 0.8001 0.0105 0.4156  6 O 2.68-2.97
K: 0.8001 0.9895 0.9156  6 O 2.68-2.97
Mo: 0.0782 0.2740 0.3459  1 O 1.73
Mo: 0.0782 0.7260 0.8459  1 O 1.73
Mo: 0.4218 0.2260 0.8459  1 O 1.73
Mo: 0.4218 0.7740 0.3459  1 O 1.73
Mo: 0.5782 0.2260 0.6541  1 O 1.73
Mo: 0.5782 0.7740 0.1541  1 O 1.73
Mo: 0.9218 0.2740 0.1541  1 O 1.73
Mo: 0.9218 0.7260 0.6541  1 O 1.73
P: 0.0705 0.3265 0.8727  4 O 1.52-1.62
P: 0.0705 0.6735 0.3727  4 O 1.52-1.62
P: 0.4295 0.1735 0.3727  4 O 1.52-1.62
P: 0.4295 0.8265 0.8727  4 O 1.52-1.62
P: 0.5705 0.1735 0.1273  4 O 1.52-1.62
P: 0.5705 0.8265 0.6273  4 O 1.52-1.62
P: 0.9295 0.3265 0.6273  4 O 1.52-1.62
P: 0.9295 0.6735 0.1273  4 O 1.52-1.62
O: 0.0000 0.2644 0.7500  2 P 1.62
O: 0.0000 0.7356 0.2500  2 P 1.62
O: 0.0490 0.3039 0.5348  1 P 1.54
O: 0.0490 0.6961 0.0348  1 P 1.54
O: 0.0785 0.0855 0.3628  1 Mo 1.73
O: 0.0785 0.9145 0.8628  1 Mo 1.73
O: 0.1104 0.4864 0.8562  1 P 1.52
O: 0.1104 0.5135 0.3562  1 P 1.52
O: 0.1280 0.3047 0.1754  2 Mo 1.97-1.98
O: 0.1280 0.6953 0.6754  2 Mo 1.97-1.98
O: 0.1985 0.2273 0.8969  1 P 1.53
O: 0.1985 0.7727 0.3969  1 P 1.53
O: 0.3015 0.2727 0.3969  1 P 1.53
O: 0.3015 0.7273 0.8969  1 P 1.53
O: 0.3720 0.1953 0.6754  2 Mo 1.97-1.98
O: 0.3720 0.8047 0.1754  2 Mo 1.97-1.98
O: 0.3896 0.0136 0.3562  1 P 1.52
O: 0.3896 0.9864 0.8562  1 P 1.52
O: 0.4215 0.4145 0.8628  1 Mo 1.73
O: 0.4215 0.5855 0.3628  1 Mo 1.73
O: 0.4510 0.1961 0.0348  1 P 1.54
O: 0.4510 0.8039 0.5348  1 P 1.54
O: 0.5000 0.2356 0.2500  2 P 1.62
O: 0.5000 0.7644 0.7500  2 P 1.62
O: 0.5490 0.1961 0.4652  1 P 1.54
O: 0.5490 0.8039 0.9652  1 P 1.54
O: 0.5785 0.4145 0.6372  1 Mo 1.73
O: 0.5785 0.5855 0.1372  1 Mo 1.73
O: 0.6104 0.0136 0.1438  1 P 1.52
O: 0.6104 0.9864 0.6438  1 P 1.52
O: 0.6280 0.1953 0.8246  2 Mo 1.97-1.98
O: 0.6280 0.8047 0.3246  2 Mo 1.97-1.98
O: 0.6985 0.2727 0.1031  1 P 1.53
O: 0.6985 0.7273 0.6031  1 P 1.53
O: 0.8015 0.2273 0.6031  1 P 1.53
O: 0.8015 0.7727 0.1031  1 P 1.53
O: 0.8720 0.3047 0.3246  2 Mo 1.97-1.98
O: 0.8720 0.6953 0.8246  2 Mo 1.97-1.98
O: 0.8896 0.4864 0.6438  1 P 1.52
O: 0.8896 0.5135 0.1438  1 P 1.52
O: 0.9215 0.0855 0.1372  1 Mo 1.73
O: 0.9215 0.9145 0.6372  1 Mo 1.73
O: 0.9510 0.3039 0.9652  1 P 1.54
O: 0.9510 0.6961 0.4652  1 P 1.54

=====

#B
The following is a DFT calculation (GGA+U) of an optimized crystal structure of K2Mo2P2O11.

Theoretical density (kg/m3): 3277
Total magnetization (Bohr magnetons per cell): 8.000

a b c (Å): 10.0474 10.2932 10.0642
angles (deg): 90.00 98.42 90.00
Closest atoms and distances in Å follow each position.
Fractional positions:
K: 0.0012 0.0000 0.2488  8 O 2.73-2.98
K: 0.2351 0.8208 0.9372  6 O 2.84-3.09
K: 0.2355 0.6900 0.4736  6 O 2.91-3.12
K: 0.4964 0.5809 0.2425  6 O 2.74-3.00
K: 0.5036 0.0809 0.7575  6 O 2.74-3.00
K: 0.7645 0.1900 0.5264  6 O 2.91-3.12
K: 0.7649 0.3208 0.0628  6 O 2.84-3.09
K: 0.9988 0.5000 0.7512  8 O 2.73-2.98
Mo: 0.0706 0.1827 0.8972  2 O 1.74-1.94
Mo: 0.0742 0.3201 0.3969  2 O 1.75-1.94
Mo: 0.3477 0.0834 0.3905  2 O 1.74-1.93
Mo: 0.3492 0.4152 0.8930  2 O 1.74-1.94
Mo: 0.6508 0.9152 0.1070  2 O 1.74-1.94
Mo: 0.6523 0.5834 0.6095  2 O 1.74-1.93
Mo: 0.9258 0.8201 0.6031  2 O 1.75-1.94
Mo: 0.9294 0.6827 0.1028  2 O 1.74-1.94
P: 0.1256 0.0744 0.6050  4 O 1.55-1.56
P: 0.1297 0.4281 0.1058  4 O 1.55-1.56
P: 0.3900 0.1184 0.0661  4 O 1.55-1.57
P: 0.3933 0.3772 0.5669  4 O 1.55-1.57
P: 0.6067 0.8772 0.4331  4 O 1.55-1.57
P: 0.6100 0.6184 0.9339  4 O 1.55-1.57
P: 0.8703 0.9281 0.8942  4 O 1.55-1.56
P: 0.8744 0.5744 0.3950  4 O 1.55-1.56
O: 0.0336 0.9719 0.5230  1 P 1.56
O: 0.0394 0.5316 0.0237  1 P 1.56
O: 0.0630 0.2097 0.5660  1 P 1.56
O: 0.0652 0.2934 0.0667  1 P 1.56
O: 0.0787 0.7598 0.6862  1 Mo 1.75
O: 0.0808 0.7431 0.1871  1 Mo 1.74
O: 0.1280 0.0528 0.7577  1 P 1.55
O: 0.1311 0.4496 0.2582  1 P 1.55
O: 0.1961 0.3041 0.8347  2 Mo 1.94
O: 0.1965 0.1967 0.3331  2 Mo 1.93-1.94
O: 0.2379 0.0934 0.0242  1 P 1.55
O: 0.2414 0.4037 0.5249  1 P 1.55
O: 0.2728 0.0610 0.5767  1 P 1.55
O: 0.2775 0.4401 0.0782  1 P 1.56
O: 0.2834 0.9321 0.3395  1 Mo 1.74
O: 0.2876 0.5662 0.8374  1 Mo 1.74
O: 0.4268 0.1359 0.2207  1 P 1.56
O: 0.4286 0.3577 0.7224  1 P 1.57
O: 0.4413 0.2367 0.9923  1 P 1.55
O: 0.4436 0.2549 0.4992  1 P 1.55
O: 0.4619 0.9934 0.0210  1 P 1.57
O: 0.4652 0.5019 0.5230  1 P 1.57
O: 0.5348 0.0019 0.4770  1 P 1.57
O: 0.5381 0.4934 0.9790  1 P 1.57
O: 0.5564 0.7549 0.5008  1 P 1.55
O: 0.5587 0.7367 0.0077  1 P 1.55
O: 0.5714 0.8577 0.2776  1 P 1.57
O: 0.5732 0.6359 0.7793  1 P 1.56
O: 0.7124 0.0662 0.1626  1 Mo 1.74
O: 0.7166 0.4321 0.6605  1 Mo 1.74
O: 0.7225 0.9401 0.9218  1 P 1.56
O: 0.7272 0.5610 0.4233  1 P 1.55
O: 0.7586 0.9037 0.4751  1 P 1.55
O: 0.7621 0.5934 0.9758  1 P 1.55
O: 0.8035 0.6967 0.6669  2 Mo 1.93-1.94
O: 0.8039 0.8041 0.1653  2 Mo 1.94
O: 0.8689 0.9496 0.7418  1 P 1.55
O: 0.8720 0.5528 0.2423  1 P 1.55
O: 0.9192 0.2431 0.8129  1 Mo 1.74
O: 0.9213 0.2598 0.3138  1 Mo 1.75
O: 0.9348 0.7934 0.9333  1 P 1.56
O: 0.9370 0.7097 0.4340  1 P 1.56
O: 0.9606 0.0316 0.9763  1 P 1.56
O: 0.9664 0.4719 0.4770  1 P 1.56

=====

Which is the most stable structure? #B is the most stable.